First-principles (PBE-GGA) data for crystalline CsYBe3 at its relaxed geometry, as listed in the Alexandria database.

abc: 5.064 5.064 5.064
angles: 90.00 90.00 90.00
Atoms (fractional coordinates):
Cs 0.000 0.000 0.000
Y 0.500 0.500 0.500
Be 0.000 0.000 0.500
Be 0.000 0.500 0.000
Be 0.500 0.000 0.000

SG = No. 221
ΔE to the lowest computed polymorph = 50.7 kJ/mol of atoms
crystal system = cubic

=====

First-principles (PBE-GGA) data for crystalline CsY2Be2 at its relaxed geometry, as listed in the Alexandria database.

abc: 8.531 8.531 3.498
angles: 90.00 90.00 90.00
Atoms (fractional coordinates):
Cs 0.000 0.000 0.000
Cs 0.500 0.500 0.000
Y 0.138 0.362 0.000
Y 0.362 0.862 0.000
Y 0.638 0.138 0.000
Y 0.862 0.638 0.000
Be 0.144 0.644 0.500
Be 0.356 0.144 0.500
Be 0.644 0.856 0.500
Be 0.856 0.356 0.500

SG = No. 127
ΔE to the lowest computed polymorph = 0.0 kJ/mol of atoms
crystal system = tetragonal

=====

First-principles (PBE-GGA) data for crystalline CsY3Be at its relaxed geometry, as listed in the Alexandria database.

abc: 5.541 5.541 5.541
angles: 90.00 90.00 90.00
Atoms (fractional coordinates):
Cs 0.000 0.000 0.000
Y 0.000 0.500 0.500
Y 0.500 0.000 0.500
Y 0.500 0.500 0.000
Be 0.500 0.500 0.500

SG = No. 221
ΔE to the lowest computed polymorph = 0.0 kJ/mol of atoms
crystal system = cubic

=====

First-principles (PBE-GGA) data for crystalline CsY2Be2 at its relaxed geometry, as listed in the Alexandria database.

abc: 4.738 4.738 13.495
angles: 90.00 90.00 90.00
Atoms (fractional coordinates):
Cs 0.000 0.000 0.000
Cs 0.500 0.500 0.500
Y 0.000 0.000 0.347
Y 0.000 0.000 0.653
Y 0.500 0.500 0.153
Y 0.500 0.500 0.847
Be 0.000 0.500 0.250
Be 0.000 0.500 0.750
Be 0.500 0.000 0.250
Be 0.500 0.000 0.750

SG = No. 139
ΔE to the lowest computed polymorph = 22.6 kJ/mol of atoms
crystal system = tetragonal

=====

First-principles (PBE-GGA) data for crystalline Cs2YBe at its relaxed geometry, as listed in the Alexandria database.

abc: 9.217 9.217 9.217
angles: 90.00 90.00 90.00
Atoms (fractional coordinates):
Cs 0.250 0.250 0.250
Cs 0.250 0.250 0.750
Cs 0.250 0.750 0.250
Cs 0.250 0.750 0.750
Cs 0.750 0.250 0.250
Cs 0.750 0.250 0.750
Cs 0.750 0.750 0.250
Cs 0.750 0.750 0.750
Y 0.000 0.000 0.000
Y 0.000 0.500 0.500
Y 0.500 0.000 0.500
Y 0.500 0.500 0.000
Be 0.000 0.000 0.500
Be 0.000 0.500 0.000
Be 0.500 0.000 0.000
Be 0.500 0.500 0.500

SG = No. 225
ΔE to the lowest computed polymorph = 35.6 kJ/mol of atoms
crystal system = cubic

=====

First-principles (PBE-GGA) data for crystalline CsY3Be at its relaxed geometry, as listed in the Alexandria database.

abc: 5.573 5.573 5.573
angles: 90.00 90.00 90.00
Atoms (fractional coordinates):
Cs 0.000 0.000 0.000
Y 0.000 0.000 0.500
Y 0.000 0.500 0.000
Y 0.500 0.000 0.000
Be 0.500 0.500 0.500

SG = No. 221
ΔE to the lowest computed polymorph = 117.9 kJ/mol of atoms
crystal system = cubic

=====

First-principles (PBE-GGA) data for crystalline Cs2YBe at its relaxed geometry, as listed in the Alexandria database.

abc: 14.023 14.023 5.333
angles: 90.00 90.00 90.00
Atoms (fractional coordinates):
Cs 0.087 0.750 0.125
Cs 0.250 0.087 0.875
Cs 0.250 0.413 0.375
Cs 0.413 0.750 0.625
Cs 0.587 0.250 0.625
Cs 0.750 0.587 0.375
Cs 0.750 0.913 0.875
Cs 0.913 0.250 0.125
Y 0.000 0.000 0.500
Y 0.000 0.500 0.750
Y 0.500 0.000 0.250
Y 0.500 0.500 0.000
Be 0.000 0.000 0.000
Be 0.000 0.500 0.250
Be 0.500 0.000 0.750
Be 0.500 0.500 0.500

SG = No. 122
ΔE to the lowest computed polymorph = 0.0 kJ/mol of atoms
crystal system = tetragonal

=====

First-principles (PBE-GGA) data for crystalline CsYBe2 at its relaxed geometry, as listed in the Alexandria database.

abc: 7.490 7.490 7.490
angles: 90.00 90.00 90.00
Atoms (fractional coordinates):
Cs 0.000 0.000 0.000
Cs 0.000 0.500 0.500
Cs 0.500 0.000 0.500
Cs 0.500 0.500 0.000
Y 0.000 0.000 0.500
Y 0.000 0.500 0.000
Y 0.500 0.000 0.000
Y 0.500 0.500 0.500
Be 0.250 0.250 0.250
Be 0.250 0.250 0.750
Be 0.250 0.750 0.250
Be 0.250 0.750 0.750
Be 0.750 0.250 0.250
Be 0.750 0.250 0.750
Be 0.750 0.750 0.250
Be 0.750 0.750 0.750

SG = No. 225
crystal system = cubic

=====

What are the magnetic moment values for these records? In order: 0.00; 0.00; 0.00; 1.23; 2.43; 0.00; 0.00; 0.00 μB/f.u..
What are the ΔE_f values for these records? In order: 1.993; 0.584; 0.515; 0.819; 1.279; 1.737; 0.911; 1.133 eV per atom.